(1)
# Tb2PrNdHo | Alexandria via LeMat-Bulk | PBE | relaxed
data_Tb2PrNdHo
_cell_length_a 8.4672
_cell_length_b 11.6563
_cell_length_c 7.1780
_cell_angle_alpha 90.00
_cell_angle_beta 90.00
_cell_angle_gamma 90.00
_symmetry_space_group_name_H-M 'C m c m'
_symmetry_Int_Tables_number 63
_symmetry_space_group_name_Hall '-C 2c 2'
loop_
_atom_site_label
_atom_site_fract_x
_atom_site_fract_y
_atom_site_fract_z
Tb1 0.1866 0.0000 0.0000
Pr1 0.0000 0.2306 0.2500
Nd1 0.0000 0.4989 0.2500
Ho1 0.0000 0.2227 0.7500
# Magnetization, μB/f.u.: 0.00
# Calculated density, g cm⁻³: 7.20
# Formation energy, eV/atom: 0.38
# E, eV per atom: -4.298



(2)
# Tb2Pr6NdHo | Alexandria via LeMat-Bulk | PBE | relaxed
data_Tb2Pr6NdHo
_cell_length_a 9.3639
_cell_length_b 15.4198
_cell_length_c 9.7969
_cell_angle_alpha 90.00
_cell_angle_beta 97.70
_cell_angle_gamma 90.00
_symmetry_space_group_name_H-M 'C 1 2/c 1'
_symmetry_Int_Tables_number 15
_symmetry_space_group_name_Hall '-C 2yc'
loop_
_atom_site_label
_atom_site_fract_x
_atom_site_fract_y
_atom_site_fract_z
Tb1 0.2490 0.0483 0.0467
Pr1 0.0636 0.1790 0.4456
Pr2 0.0973 0.3924 0.6182
Pr3 0.2136 0.2218 0.8122
Nd1 0.0000 0.0259 0.7500
Ho1 0.0000 0.4106 0.2500
# Magnetization, μB/f.u.: 0.00
# Calculated density, g cm⁻³: 6.98
# Formation energy, eV/atom: 0.11
# E, eV per atom: -4.616



(3)
# TbPrNd3Ho | Alexandria via LeMat-Bulk | PBE | relaxed
data_TbPrNd3Ho
_cell_length_a 20.6750
_cell_length_b 5.8377
_cell_length_c 6.8535
_cell_angle_alpha 90.00
_cell_angle_beta 90.61
_cell_angle_gamma 90.00
_symmetry_space_group_name_H-M 'C 1 2/m 1'
_symmetry_Int_Tables_number 12
_symmetry_space_group_name_Hall '-C 2y'
loop_
_atom_site_label
_atom_site_fract_x
_atom_site_fract_y
_atom_site_fract_z
Tb1 0.1434 0.0000 0.4746
Pr1 0.1460 0.0000 0.0252
Nd1 0.0182 0.0000 0.7483
Nd2 0.1589 0.5000 0.7490
Nd3 0.2197 0.5000 0.2615
Ho1 0.0585 0.5000 0.2644
# Magnetization, μB/f.u.: 0.00
# Calculated density, g cm⁻³: 7.21
# Formation energy, eV/atom: 0.19
# E, eV per atom: -4.528



(4)
# TbPrNd2Ho2 | Alexandria via LeMat-Bulk | PBE | relaxed
data_TbPrNd2Ho2
_cell_length_a 7.0616
_cell_length_b 9.9075
_cell_length_c 5.7047
_cell_angle_alpha 90.00
_cell_angle_beta 90.00
_cell_angle_gamma 90.00
_symmetry_space_group_name_H-M 'P n n m'
_symmetry_Int_Tables_number 58
_symmetry_space_group_name_Hall '-P 2 2n'
loop_
_atom_site_label
_atom_site_fract_x
_atom_site_fract_y
_atom_site_fract_z
Tb1 0.0000 0.0000 0.0000
Pr1 0.0000 0.5000 0.5000
Nd1 0.2480 0.1668 0.5000
Ho1 0.2500 0.3334 0.0000
# Magnetization, μB/f.u.: 0.00
# Calculated density, g cm⁻³: 7.64
# Formation energy, eV/atom: 0.06
# E, eV per atom: -4.620



(5)
# Tb2PrNdHo2 | Alexandria via LeMat-Bulk | PBE | relaxed
data_Tb2PrNdHo2
_cell_length_a 6.5991
_cell_length_b 17.9682
_cell_length_c 3.4164
_cell_angle_alpha 90.00
_cell_angle_beta 90.00
_cell_angle_gamma 90.00
_symmetry_space_group_name_H-M 'P n n m'
_symmetry_Int_Tables_number 58
_symmetry_space_group_name_Hall '-P 2 2n'
loop_
_atom_site_label
_atom_site_fract_x
_atom_site_fract_y
_atom_site_fract_z
Tb1 0.2241 0.1862 0.0000
Pr1 0.0000 0.0000 0.0000
Nd1 0.0000 0.5000 0.0000
Ho1 0.2222 0.3502 0.5000
# Magnetization, μB/f.u.: 0.00
# Calculated density, g cm⁻³: 7.65
# Formation energy, eV/atom: 0.27
# E, eV per atom: -4.386



(6)
# Tb3Pr6Nd2Ho | Alexandria via LeMat-Bulk | PBE | relaxed
data_Tb3Pr6Nd2Ho
_cell_length_a 6.3463
_cell_length_b 10.9950
_cell_length_c 12.0389
_cell_angle_alpha 90.00
_cell_angle_beta 100.11
_cell_angle_gamma 90.00
_symmetry_space_group_name_H-M 'C 1 2/m 1'
_symmetry_Int_Tables_number 12
_symmetry_space_group_name_Hall '-C 2y'
loop_
_atom_site_label
_atom_site_fract_x
_atom_site_fract_y
_atom_site_fract_z
Tb1 0.0000 0.0000 0.0000
Tb2 0.0000 0.3335 0.0000
Pr1 0.2484 0.5000 0.2477
Pr2 0.2499 0.1661 0.2481
Nd1 0.0000 0.1668 0.5000
Ho1 0.0000 0.5000 0.5000
# Magnetization, μB/f.u.: 0.00
# Calculated density, g cm⁻³: 7.13
# Formation energy, eV/atom: 0.01
# E, eV per atom: -4.711



(7)
# Tb2PrNdHo4 | Alexandria via LeMat-Bulk | PBE | relaxed
data_Tb2PrNdHo4
_cell_length_a 13.6532
_cell_length_b 13.2722
_cell_length_c 6.8192
_cell_angle_alpha 90.00
_cell_angle_beta 119.96
_cell_angle_gamma 90.00
_symmetry_space_group_name_H-M 'C 1 2/c 1'
_symmetry_Int_Tables_number 15
_symmetry_space_group_name_Hall '-C 2yc'
loop_
_atom_site_label
_atom_site_fract_x
_atom_site_fract_y
_atom_site_fract_z
Tb1 0.0000 0.0000 0.0000
Tb2 0.2500 0.2500 0.0000
Pr1 0.0000 0.5000 0.0000
Nd1 0.2500 0.2500 0.5000
Ho1 0.0002 0.2468 0.5014
Ho2 0.2466 0.0013 0.9954
# Magnetization, μB/f.u.: 2.70
# Calculated density, g cm⁻³: 7.83
# Formation energy, eV/atom: 0.42
# E, eV per atom: -4.218



(8)
# Tb6Pr2Nd3Ho | Alexandria via LeMat-Bulk | PBE | relaxed
data_Tb6Pr2Nd3Ho
_cell_length_a 6.2657
_cell_length_b 10.8492
_cell_length_c 11.9352
_cell_angle_alpha 90.00
_cell_angle_beta 100.05
_cell_angle_gamma 90.00
_symmetry_space_group_name_H-M 'C 1 2/m 1'
_symmetry_Int_Tables_number 12
_symmetry_space_group_name_Hall '-C 2y'
loop_
_atom_site_label
_atom_site_fract_x
_atom_site_fract_y
_atom_site_fract_z
Tb1 0.2491 0.0000 0.2503
Tb2 0.2495 0.1663 0.7494
Pr1 0.0000 0.3336 0.5000
Nd1 0.0000 0.1668 0.0000
Nd2 0.0000 0.5000 0.0000
Ho1 0.0000 0.0000 0.5000
# Magnetization, μB/f.u.: 0.00
# Calculated density, g cm⁻³: 7.62
# Formation energy, eV/atom: 0.01
# E, eV per atom: -4.672